Entry 1:
A plane-wave DFT calculation with GGA-PBE was carried out for ErThSnAu after structural relaxation.

```
ErThSnAu
1.0
0.000 3.740 3.740
3.740 0.000 3.740
3.740 3.740 0.000
Er Th Sn Au
1 1 1 1
direct
0.000 0.000 0.000
0.500 0.500 0.500
0.750 0.750 0.750
0.250 0.250 0.250
```

Computed properties:
**Calculated formation energy**: -560 meV/atom
**Symmetry**: F-43m, No. 216
**Electronic total energy**: -21.5 eV for the cell shown



Entry 2:
A plane-wave DFT calculation with GGA-PBE was carried out for ErTiSnAu after structural relaxation.

```
ErTiSnAu
1.0
0.000 3.512 3.512
3.512 0.000 3.512
3.512 3.512 0.000
Er Ti Sn Au
1 1 1 1
direct
0.000 0.000 0.000
0.500 0.500 0.500
0.750 0.750 0.750
0.250 0.250 0.250
```

Computed properties:
**Calculated formation energy**: -444 meV/atom
**Symmetry**: F-43m, No. 216
**Electronic total energy**: -21.5 eV for the cell shown



Entry 3:
A plane-wave DFT calculation with GGA-PBE was carried out for YErSnAu after structural relaxation.

```
YErSnAu
1.0
0.000 3.678 3.678
3.678 0.000 3.678
3.678 3.678 0.000
Y Er Sn Au
1 1 1 1
direct
0.000 0.000 0.000
0.500 0.500 0.500
0.750 0.750 0.750
0.250 0.250 0.250
```

Computed properties:
**Calculated formation energy**: -720 meV/atom
**Symmetry**: F-43m, No. 216
**Electronic total energy**: -21.2 eV for the cell shown



Entry 4:
A plane-wave DFT calculation with GGA-PBE was carried out for ErZnSnAu after structural relaxation.

```
ErZnSnAu
1.0
0.000 3.484 3.484
3.484 0.000 3.484
3.484 3.484 0.000
Er Zn Sn Au
1 1 1 1
direct
0.000 0.000 0.000
0.750 0.750 0.750
0.500 0.500 0.500
0.250 0.250 0.250
```

Computed properties:
**Calculated formation energy**: -470 meV/atom
**Symmetry**: F-43m, No. 216
**Electronic total energy**: -15.0 eV for the cell shown



Entry 5:
A plane-wave DFT calculation with GGA-PBE was carried out for ErZrSnAu after structural relaxation.

```
ErZrSnAu
1.0
0.000 3.570 3.570
3.570 0.000 3.570
3.570 3.570 0.000
Er Zr Sn Au
1 1 1 1
direct
0.000 0.000 0.000
0.500 0.500 0.500
0.250 0.250 0.250
0.750 0.750 0.750
```

Computed properties:
**Calculated formation energy**: -515 meV/atom
**Symmetry**: F-43m, No. 216
**Electronic total energy**: -22.5 eV for the cell shown



Entry 6:
A plane-wave DFT calculation with GGA-PBE was carried out for SrErAu2 after structural relaxation.

```
SrErAu2
1.0
3.676 0.000 0.000
0.000 3.676 0.000
0.000 0.000 7.538
Sr Er Au
1 1 2
direct
0.000 0.000 0.000
0.000 0.000 0.500
0.500 0.500 0.291
0.500 0.500 0.709
```

Computed properties:
**Distance to the lowest polymorph of the same formula**: 0.000 eV/atom
**Calculated formation energy**: -807 meV/atom
**Symmetry**: P4/mmm, No. 123
**Electronic total energy**: -16.0 eV for the cell shown



Entry 7:
A plane-wave DFT calculation with GGA-PBE was carried out for SrErAu after structural relaxation.

```
SrErAu
1.0
4.969 0.000 0.000
0.000 4.969 0.000
0.000 0.000 7.749
Sr Er Au
2 2 2
direct
0.250 0.250 0.129
0.750 0.750 0.871
0.250 0.750 0.500
0.750 0.250 0.500
0.250 0.250 0.700
0.750 0.750 0.300
```

Computed properties:
**Distance to the lowest polymorph of the same formula**: 0.000 eV/atom
**Calculated formation energy**: -563 meV/atom
**Symmetry**: P4/nmm, No. 129
**Electronic total energy**: -22.4 eV for the cell shown



Entry 8:
A plane-wave DFT calculation with GGA-PBE was carried out for Sr2ErAu4 after structural relaxation.

```
Sr2ErAu4
1.0
-2.657 2.657 6.872
2.657 -2.657 6.872
2.657 2.657 -6.872
Sr Er Au
2 1 4
direct
0.224 0.224 0.000
0.776 0.776 0.000
0.500 0.500 0.000
0.104 0.604 0.500
0.396 0.896 0.500
0.604 0.104 0.500
0.896 0.396 0.500
```

Computed properties:
**Calculated formation energy**: -630 meV/atom
**Symmetry**: I4/mmm, No. 139
**Electronic total energy**: -25.4 eV for the cell shown



Which formula does entry 5 have? ErZrSnAu